(1)
A plane-wave DFT calculation with PBE was carried out for crystalline Sc2TiZnCd at its relaxed geometry.

## Properties
Symmetry: P4/mmm, No. 123
DFT total energy (eV per atom): -4.1828
Crystal system: tetragonal
Calculated volume (Å³/cell): 119.98

Geometry as CIF:
```
data_Sc2TiZnCd
_cell_length_a 5.0206
_cell_length_b 4.7598
_cell_length_c 5.0206
_cell_angle_alpha 90.00
_cell_angle_beta 90.00
_cell_angle_gamma 90.00
_space_group_name_H-M_alt 'P 1'
_space_group_IT_number 1
loop_
_space_group_symop_operation_xyz
'x,y,z'
loop_
_atom_site_label
_atom_site_type_symbol
_atom_site_fract_x
_atom_site_fract_y
_atom_site_fract_z
Sc1 Sc 0.0000 0.0000 0.5000
Sc2 Sc 0.5000 0.0000 0.0000
Zn1 Zn 0.0000 0.0000 0.0000
Ti1 Ti 0.0000 0.5000 0.0000
Cd1 Cd 0.5000 0.5000 0.5000
```

---

(2)
A plane-wave DFT calculation with PBE was carried out for crystalline Ta2FeCu at its relaxed geometry.

## Properties
Symmetry: Cmm2, No. 35
DFT total energy (eV per atom): -8.9451
Distance to the lowest polymorph of the same formula (kJ/mol of formula units): 33
Crystal system: orthorhombic
Calculated volume (Å³/cell): 60.82

Geometry as CIF:
```
data_Ta2FeCu
_cell_length_a 2.7525
_cell_length_b 2.7525
_cell_length_c 8.1883
_cell_angle_alpha 90.00
_cell_angle_beta 90.00
_cell_angle_gamma 101.36
_space_group_name_H-M_alt 'P 1'
_space_group_IT_number 1
loop_
_space_group_symop_operation_xyz
'x,y,z'
loop_
_atom_site_label
_atom_site_type_symbol
_atom_site_fract_x
_atom_site_fract_y
_atom_site_fract_z
Cu1 Cu 0.0000 0.0000 0.5198
Fe1 Fe 0.5000 0.5000 0.7331
Ta1 Ta 0.0000 0.0000 0.9801
Ta2 Ta 0.5000 0.5000 0.2670
```

---

(3)
A plane-wave DFT calculation with PBE was carried out for crystalline NaTl2Rh at its relaxed geometry.

## Properties
Symmetry: I-42d, No. 122
DFT total energy (eV per atom): -3.0523
Crystal system: tetragonal
Calculated volume (Å³/cell): 210.83

Geometry as CIF:
```
data_NaTl2Rh
_cell_length_a 4.7545
_cell_length_b 4.7545
_cell_length_c 9.9139
_cell_angle_alpha 76.13
_cell_angle_beta 76.13
_cell_angle_gamma 90.00
_space_group_name_H-M_alt 'P 1'
_space_group_IT_number 1
loop_
_space_group_symop_operation_xyz
'x,y,z'
loop_
_atom_site_label
_atom_site_type_symbol
_atom_site_fract_x
_atom_site_fract_y
_atom_site_fract_z
Na1 Na 0.5000 0.5000 0.0000
Na2 Na 0.2500 0.7500 0.5000
Tl1 Tl 0.6715 0.1250 0.2500
Tl2 Tl 0.0785 0.6250 0.2500
Tl3 Tl 0.3750 0.3285 0.7500
Tl4 Tl 0.8750 0.9215 0.7500
Rh1 Rh 0.0000 0.0000 0.0000
Rh2 Rh 0.7500 0.2500 0.5000
```

---

(4)
A plane-wave DFT calculation with PBE was carried out for crystalline DyBrCl at its relaxed geometry.

## Properties
Symmetry: P3_2, No. 145
DFT total energy (eV per atom): -4.2341
Crystal system: trigonal
Calculated volume (Å³/cell): 344.53
Formation energy from raw total energies (eV/atom): -1.527

Geometry as CIF:
```
data_DyBrCl
_cell_length_a 7.7024
_cell_length_b 7.7024
_cell_length_c 6.7056
_cell_angle_alpha 90.00
_cell_angle_beta 90.00
_cell_angle_gamma 120.00
_space_group_name_H-M_alt 'P 1'
_space_group_IT_number 1
loop_
_space_group_symop_operation_xyz
'x,y,z'
loop_
_atom_site_label
_atom_site_type_symbol
_atom_site_fract_x
_atom_site_fract_y
_atom_site_fract_z
Dy1 Dy 0.0626 0.5012 0.6673
Dy2 Dy 0.4386 0.9374 0.0007
Dy3 Dy 0.4988 0.5614 0.3340
Br1 Br 0.7413 0.9657 0.2433
Br2 Br 0.0343 0.7757 0.9099
Br3 Br 0.2243 0.2587 0.5766
Cl1 Cl 0.8468 0.5808 0.4227
Cl2 Cl 0.7340 0.1532 0.7561
Cl3 Cl 0.4192 0.2660 0.0894
```

---

(5)
A plane-wave DFT calculation with PBE was carried out for crystalline Rb2MgNiPt at its relaxed geometry.

## Properties
Symmetry: P4/mmm, No. 123
DFT total energy (eV per atom): -2.3239
Crystal system: tetragonal
Calculated volume (Å³/cell): 170.28

Geometry as CIF:
```
data_Rb2MgNiPt
_cell_length_a 5.8840
_cell_length_b 4.9182
_cell_length_c 5.8840
_cell_angle_alpha 90.00
_cell_angle_beta 90.00
_cell_angle_gamma 90.00
_space_group_name_H-M_alt 'P 1'
_space_group_IT_number 1
loop_
_space_group_symop_operation_xyz
'x,y,z'
loop_
_atom_site_label
_atom_site_type_symbol
_atom_site_fract_x
_atom_site_fract_y
_atom_site_fract_z
Ni1 Ni 0.0000 0.0000 0.0000
Mg1 Mg 0.0000 0.5000 0.0000
Rb1 Rb 0.0000 0.0000 0.5000
Rb2 Rb 0.5000 0.0000 0.0000
Pt1 Pt 0.5000 0.5000 0.5000
```

---

(6)
A plane-wave DFT calculation with PBE was carried out for crystalline Cs2Rb2Tl at its relaxed geometry.

## Properties
Symmetry: C2/m, No. 12
DFT total energy (eV per atom): -1.2214
Distance to the lowest polymorph of the same formula (kJ/mol of formula units): 0
Crystal system: monoclinic
Calculated volume (Å³/cell): 793.58

Geometry as CIF:
```
data_Cs2Rb2Tl
_cell_length_a 10.4544
_cell_length_b 9.6316
_cell_length_c 9.6316
_cell_angle_alpha 114.14
_cell_angle_beta 103.92
_cell_angle_gamma 103.92
_space_group_name_H-M_alt 'P 1'
_space_group_IT_number 1
loop_
_space_group_symop_operation_xyz
'x,y,z'
loop_
_atom_site_label
_atom_site_type_symbol
_atom_site_fract_x
_atom_site_fract_y
_atom_site_fract_z
Cs1 Cs 0.7668 0.3385 0.7805
Cs2 Cs 0.2332 0.6615 0.2195
Cs3 Cs 0.7668 0.7805 0.3385
Cs4 Cs 0.2332 0.2195 0.6615
Rb1 Rb 0.3846 0.2239 0.2239
Rb2 Rb 0.1356 0.7430 0.7430
Rb3 Rb 0.8644 0.2570 0.2570
Rb4 Rb 0.6154 0.7761 0.7761
Tl1 Tl 0.0000 0.0957 0.9043
Tl2 Tl 0.0000 0.9043 0.0957
```

---

(7)
A plane-wave DFT calculation with PBE was carried out for crystalline RbZn at its relaxed geometry.

## Properties
Symmetry: I4/mmm, No. 139
DFT total energy (eV per atom): -0.9967
Crystal system: tetragonal
Calculated volume (Å³/cell): 833.49

Geometry as CIF:
```
data_RbZn
_cell_length_a 13.2084
_cell_length_b 13.2084
_cell_length_c 4.7775
_cell_angle_alpha 90.00
_cell_angle_beta 90.00
_cell_angle_gamma 90.00
_space_group_name_H-M_alt 'P 1'
_space_group_IT_number 1
loop_
_space_group_symop_operation_xyz
'x,y,z'
loop_
_atom_site_label
_atom_site_type_symbol
_atom_site_fract_x
_atom_site_fract_y
_atom_site_fract_z
Rb1 Rb 0.7561 0.5000 0.0000
Rb2 Rb 0.2439 0.5000 0.0000
Rb3 Rb 0.5000 0.2439 0.0000
Rb4 Rb 0.5000 0.7561 0.0000
Rb5 Rb 0.2561 0.0000 0.5000
Rb6 Rb 0.7439 0.0000 0.5000
Rb7 Rb 0.0000 0.7439 0.5000
Rb8 Rb 0.0000 0.2561 0.5000
Zn1 Zn 0.2283 0.2283 0.0000
Zn2 Zn 0.2283 0.7717 0.0000
Zn3 Zn 0.7717 0.2283 0.0000
Zn4 Zn 0.7717 0.7717 0.0000
Zn5 Zn 0.7283 0.7283 0.5000
Zn6 Zn 0.7283 0.2717 0.5000
Zn7 Zn 0.2717 0.7283 0.5000
Zn8 Zn 0.2717 0.2717 0.5000
```

---

(8)
A plane-wave DFT calculation with PBE was carried out for crystalline KRb3Ni2H8 at its relaxed geometry.

## Properties
Symmetry: P-3m1, No. 164
DFT total energy (eV per atom): -2.9869
Crystal system: trigonal
Calculated volume (Å³/cell): 266.29

Geometry as CIF:
```
data_KRb3Ni2H8
_cell_length_a 6.0137
_cell_length_b 6.0137
_cell_length_c 8.5025
_cell_angle_alpha 90.00
_cell_angle_beta 90.00
_cell_angle_gamma 120.00
_space_group_name_H-M_alt 'P 1'
_space_group_IT_number 1
loop_
_space_group_symop_operation_xyz
'x,y,z'
loop_
_atom_site_label
_atom_site_type_symbol
_atom_site_fract_x
_atom_site_fract_y
_atom_site_fract_z
K1 K 0.0000 0.0000 0.5000
Rb1 Rb 0.3333 0.6667 0.7330
Rb2 Rb 0.6667 0.3333 0.2670
Rb3 Rb 0.0000 0.0000 0.0000
Ni1 Ni 0.3333 0.6667 0.2444
Ni2 Ni 0.6667 0.3333 0.7556
H1 H 0.3333 0.6667 0.0609
H2 H 0.6667 0.3333 0.9391
H3 H 0.1833 0.8167 0.2871
H4 H 0.8167 0.1833 0.7129
H5 H 0.1833 0.3667 0.2871
H6 H 0.8167 0.6333 0.7129
H7 H 0.6333 0.8167 0.2871
H8 H 0.3667 0.1833 0.7129
```